# 1
Density functional theory data (PBE-GGA) for a relaxed structure of Pr3NdSe3O4.

Values from the calculation:
Space group: Amm2, No. 38
Total DFT energy (no corrections), eV per atom: -7.225
Calculated volume, Å³/cell: 223.1
Total magnetic moment, μB/atom: 0.000

a b c (Å): 8.494 6.810 6.810
angles (deg): 34.50 90.00 90.00
Atoms (fractional coordinates):
Pr: 0.000 0.000 0.000
Pr: 0.263 0.668 0.668
Pr: 0.737 0.668 0.668
Nd: 0.500 0.985 0.985
Se: 0.149 0.340 0.340
Se: 0.500 0.297 0.297
Se: 0.851 0.340 0.340
O: 0.000 0.600 0.600
O: 0.257 0.072 0.072
O: 0.500 0.571 0.571
O: 0.743 0.072 0.072

=====

# 2
Density functional theory data (PBE-GGA) for a relaxed structure of NaOsAuSe2S.

Values from the calculation:
Space group: Cmcm, No. 63
Total DFT energy (no corrections), eV per atom: -4.638
Calculated volume, Å³/cell: 287.4
Total magnetic moment, μB/atom: 0.000

a b c (Å): 8.374 8.374 8.980
angles (deg): 90.00 90.00 152.84
Atoms (fractional coordinates):
Na: 0.226 0.774 0.750
Na: 0.774 0.226 0.250
Os: 0.500 0.500 0.000
Os: 0.500 0.500 0.500
Au: 0.141 0.859 0.250
Au: 0.859 0.141 0.750
Se: 0.106 0.894 0.516
Se: 0.106 0.894 0.984
Se: 0.894 0.106 0.016
Se: 0.894 0.106 0.484
S: 0.499 0.501 0.250
S: 0.501 0.499 0.750

=====

# 3
Density functional theory data (PBE-GGA) for a relaxed structure of PrCuOs.

Values from the calculation:
Energy relative to the lowest polymorph listed for this composition, meV/atom: 568
Formation energy, eV per atom: 1.2020
Space group: F-43m, No. 216
Total DFT energy (no corrections), eV per atom: -5.370
Calculated volume, Å³/cell: 278.1
Total magnetic moment, μB/atom: 0.050

a b c (Å): 6.527 6.527 6.527
angles (deg): 90.00 90.00 90.00
Atoms (fractional coordinates):
Pr: 0.000 0.000 0.000
Pr: 0.000 0.500 0.500
Pr: 0.500 0.000 0.500
Pr: 0.500 0.500 0.000
Cu: 0.250 0.250 0.750
Cu: 0.250 0.750 0.250
Cu: 0.750 0.250 0.250
Cu: 0.750 0.750 0.750
Os: 0.250 0.250 0.250
Os: 0.250 0.750 0.750
Os: 0.750 0.250 0.750
Os: 0.750 0.750 0.250